Entry from the Alexandria database: an optimized crystal structure of TlSiOs (PBE).

Output
The uncorrected formation energy is 394 meV/atom. Its total energy is -5.9453 eV per atom. The calculation puts the energy relative to the lowest polymorph listed for this composition at 12 meV per atom. The density of states at the Fermi level is 1.76 states/eV per cell. The magnetization comes out at 0.0000 μB per atom.

abc: 3.1281 3.1281 6.5054
angles: 90.00 90.00 120.00
Space group P3m1 (No. 156)
One atom of each set of equivalent atoms:
Tl 0.0000 0.0000 0.0000 (multiplicity 1)
Si 0.6667 0.3333 0.6060 (multiplicity 1)
Os 0.3333 0.6667 0.3676 (multiplicity 1)


Entry from the Alexandria database: an optimized crystal structure of TlSiOs2 (PBE).

Output
The uncorrected formation energy is 488 meV/atom. Its total energy is -7.0740 eV per atom. The calculation puts the energy relative to the lowest polymorph listed for this composition at 95 meV per atom. The density of states at the Fermi level is 1.14 states/eV per cell. The magnetization comes out at 0.0000 μB per atom.

abc: 2.982 3.868 5.814
angles: 90.00 103.42 90.00
Space group P2/m (No. 10)
One atom of each set of equivalent atoms:
Tl 0.000 0.000 0.000 (multiplicity 1)
Si 0.000 0.000 0.500 (multiplicity 1)
Os 0.350 0.500 0.704 (multiplicity 2)


Entry from the Alexandria database: an optimized crystal structure of TlSi2Os (PBE).

Output
The uncorrected formation energy is 378 meV/atom. Its total energy is -5.7324 eV per atom. The calculation puts the energy relative to the lowest polymorph listed for this composition at 247 meV per atom. The density of states at the Fermi level is 7.62 states/eV per cell. The magnetization comes out at 0.0000 μB per atom.

abc: 5.793 5.793 13.734
angles: 90.00 90.00 90.00
Space group I-42d (No. 122)
One atom of each set of equivalent atoms:
Tl 0.000 0.000 0.000 (multiplicity 4)
Si 0.001 0.750 0.625 (multiplicity 8)
Os 0.000 0.000 0.500 (multiplicity 4)


Entry from the Alexandria database: an optimized crystal structure of TlSiOs2 (PBE).

Output
The uncorrected formation energy is 723 meV/atom. Its total energy is -6.8394 eV per atom. The calculation puts the energy relative to the lowest polymorph listed for this composition at 330 meV per atom. The density of states at the Fermi level is 10.77 states/eV per cell. The magnetization comes out at 0.0000 μB per atom.

abc: 6.301 6.301 6.301
angles: 90.00 90.00 90.00
Space group Fm-3m (No. 225)
One atom of each set of equivalent atoms:
Tl 0.000 0.000 0.000 (multiplicity 4)
Si 0.000 0.000 0.500 (multiplicity 4)
Os 0.250 0.250 0.250 (multiplicity 8)


Entry from the Alexandria database: an optimized crystal structure of TlSiOs2 (PBE).

Output
The uncorrected formation energy is 393 meV/atom. Its total energy is -7.1689 eV per atom. The calculation puts the energy relative to the lowest polymorph listed for this composition at 0 meV per atom. The density of states at the Fermi level is 4.53 states/eV per cell. The magnetization comes out at 0.0000 μB per atom.

abc: 2.993 2.993 7.057
angles: 90.00 90.00 90.00
Space group P4/mmm (No. 123)
One atom of each set of equivalent atoms:
Tl 0.000 0.000 0.000 (multiplicity 1)
Si 0.000 0.000 0.500 (multiplicity 1)
Os 0.500 0.500 0.305 (multiplicity 2)


Entry from the Alexandria database: an optimized crystal structure of TlSi2Os (PBE).

Output
The uncorrected formation energy is 183 meV/atom. Its total energy is -5.9280 eV per atom. The calculation puts the energy relative to the lowest polymorph listed for this composition at 51 meV per atom. The density of states at the Fermi level is 4.04 states/eV per cell. The magnetization comes out at 0.0000 μB per atom.

abc: 8.445 3.047 6.599
angles: 90.00 108.17 90.00
Space group Cm (No. 8)
One atom of each set of equivalent atoms:
Tl 0.000 0.000 0.000 (multiplicity 2)
Si 0.176 0.000 0.704 (multiplicity 2)
Si 0.350 0.000 0.395 (multiplicity 2)
Os 0.137 0.500 0.415 (multiplicity 2)


Entry from the Alexandria database: an optimized crystal structure of TlSi2Os (PBE).

Output
The uncorrected formation energy is 292 meV/atom. Its total energy is -5.8190 eV per atom. The calculation puts the energy relative to the lowest polymorph listed for this composition at 160 meV per atom. The density of states at the Fermi level is 2.24 states/eV per cell. The magnetization comes out at 0.0000 μB per atom.

abc: 3.102 3.102 7.758
angles: 90.00 90.00 90.00
Space group P4mm (No. 99)
One atom of each set of equivalent atoms:
Tl 0.000 0.000 0.000 (multiplicity 1)
Si 0.000 0.000 0.444 (multiplicity 1)
Si 0.500 0.500 0.636 (multiplicity 1)
Os 0.500 0.500 0.310 (multiplicity 1)


Entry from the Alexandria database: an optimized crystal structure of Tl2SiOs (PBE).

Output
The uncorrected formation energy is 216 meV/atom. Its total energy is -5.1306 eV per atom. The calculation puts the energy relative to the lowest polymorph listed for this composition at 0 meV per atom. The density of states at the Fermi level is 2.77 states/eV per cell. The magnetization comes out at 0.0000 μB per atom.

abc: 3.152 3.152 8.878
angles: 90.00 90.00 90.00
Space group P4mm (No. 99)
One atom of each set of equivalent atoms:
Tl 0.000 0.000 0.000 (multiplicity 1)
Tl 0.500 0.500 0.364 (multiplicity 1)
Si 0.500 0.500 0.733 (multiplicity 1)
Os 0.000 0.000 0.623 (multiplicity 1)